## La2NdY3Er6 (PBE)

Data for a relaxed La2NdY3Er6 crystal.

Computed properties:
E, eV per formula unit: -61.1
Crystal system: monoclinic
Energy of formation from the pure elements, eV per atom: 0.03

a b c (Å): 6.210 10.751 11.808
angles (deg): 90.00 100.08 90.00
Space group C2/m (No. 12)
Inequivalent atoms, fractional coordinates:
La 0.000 0.167 0.000 x4
Nd 0.000 0.500 0.000 x2
Y 0.000 0.000 0.500 x2
Y 0.000 0.333 0.500 x4
Er 0.247 0.500 0.746 x4
Er 0.248 0.166 0.746 x8


## ZrZn2Ag (PBE)

Data for a relaxed ZrZn2Ag crystal.

Computed properties:
E, eV per formula unit: -14.1
Crystal system: monoclinic
Energy of formation from the pure elements, eV per atom: -0.04

a b c (Å): 9.903 2.843 5.215
angles (deg): 90.00 105.04 90.00
Space group Cm (No. 8)
Inequivalent atoms, fractional coordinates:
Zr 0.000 0.000 0.000 x2
Zn 0.258 0.500 0.227 x2
Zn 0.474 0.000 0.490 x2
Ag 0.225 0.000 0.691 x2


Please write out number 2 again, unchanged.
## ZrZn2Ag (PBE)

Data for a relaxed ZrZn2Ag crystal.

Computed properties:
E, eV per formula unit: -14.1
Crystal system: monoclinic
Energy of formation from the pure elements, eV per atom: -0.04

a b c (Å): 9.903 2.843 5.215
angles (deg): 90.00 105.04 90.00
Space group Cm (No. 8)
Inequivalent atoms, fractional coordinates:
Zr 0.000 0.000 0.000 x2
Zn 0.258 0.500 0.227 x2
Zn 0.474 0.000 0.490 x2
Ag 0.225 0.000 0.691 x2


E of number 1 (La2NdY3Er6)?
-61.1 eV per formula unit


What is the E in the first record?
-61.1 eV per formula unit